Entry 1:
meta-GGA SCAN LiTeIr2, PBEsol geometry; uncorrected formation energy = 1.9 eV per formula unit; V = 16.0 Å³/atom; raw total energy = -44.997 eV per atom
1.0
2.8920 0.0000 0.0000
1.4460 2.5046 0.0000
1.4460 0.8349 8.8317
Ir Te Li
2 1 1
direct
0.2473 0.2473 0.2582
0.7527 0.7527 0.7418
0.0000 0.0000 0.0000
0.5000 0.5000 0.5000

Entry 2:
meta-GGA SCAN LiTeIr2, PBEsol geometry; uncorrected formation energy = 0.1 eV per formula unit; V = 15.0 Å³/atom; raw total energy = -45.431 eV per atom
1.0
3.8585 0.0012 0.0003
0.0012 3.8494 -0.2622
-1.9294 -1.6498 4.1536
Te Ir Li
1 2 1
direct
0.2500 0.7499 0.4999
0.7501 0.2501 0.5001
0.0000 0.0000 0.0000
0.5000 0.5000 0.9999

Entry 3:
meta-GGA SCAN LiTe2Ir, PBEsol geometry; uncorrected formation energy = -2.1 eV per formula unit; V = 22.6 Å³/atom; raw total energy = -37.516 eV per atom
1.0
4.0101 0.0000 0.0000
2.0050 3.4728 0.0000
2.0050 1.1576 6.4874
Te Li Ir
2 1 1
direct
0.2347 0.2347 0.2959
0.7653 0.7653 0.7041
0.0000 0.0000 0.0000
0.5000 0.5000 0.5000

Entry 4:
meta-GGA SCAN LiTiIr2, PBEsol geometry; E_form = -0.810 eV/atom; V = 13.3 Å³/atom; raw total energy = -40.964 eV per atom
1.0
-2.2166 0.9008 -3.4737
-3.5320 -2.1386 -0.8616
-3.7502 1.9029 0.3256
Ir Ti Li
2 1 1
direct
0.7500 0.7500 0.7500
0.2500 0.2500 0.2500
0.0000 0.0000 0.0000
0.5000 0.5000 0.5000

Entry 5:
meta-GGA SCAN LiTiIr3, PBEsol geometry; E_form = 1.012 eV/atom; V = 18.8 Å³/atom; raw total energy = -45.331 eV per atom
1.0
4.5457 0.0000 0.0000
0.0000 4.5457 0.0000
0.0000 0.0000 4.5457
Ti Li Ir
1 1 3
direct
0.0000 0.0000 0.0000
0.5000 0.5000 0.5000
0.0000 0.5000 0.0000
0.0000 0.0000 0.5000
0.5000 0.0000 0.0000

Entry 6:
meta-GGA SCAN LiTlIr2, PBEsol geometry; E_form = 0.476 eV/atom; V = 15.8 Å³/atom; raw total energy = -53.760 eV per atom
1.0
-0.8316 1.4741 2.3378
-1.7816 -1.2183 1.9161
6.0146 -3.0361 5.8356
Ir Li Tl
2 1 1
direct
0.7527 0.7527 0.7420
0.2473 0.2473 0.2580
0.5000 0.5000 0.5000
0.0000 0.0000 0.0000

Entry 7:
meta-GGA SCAN Li2TlIr, PBEsol geometry; E_form = -0.125 eV/atom; V = 15.6 Å³/atom; raw total energy = -37.184 eV per atom
1.0
4.1995 0.0000 0.0000
-2.0997 4.1140 -0.0033
0.0000 -2.1405 3.6130
Tl Ir Li
1 1 2
direct
0.5000 0.0000 0.5000
0.2500 0.5000 0.7500
0.7500 0.5000 0.2500
0.0000 0.0000 0.0000

Entry 8:
meta-GGA SCAN Li2TlIr, PBEsol geometry; E_form = -0.085 eV/atom; V = 15.8 Å³/atom; raw total energy = -37.144 eV per atom
1.0
-0.8700 -2.7395 -1.2557
3.8444 -1.8522 1.3772
-3.4410 1.1332 3.8295
Li Ir Tl
2 1 1
direct
0.2677 0.2677 0.5354
0.7323 0.7323 0.4646
0.0000 0.5000 0.0000
0.5000 0.0000 0.0000

Entry 9:
meta-GGA SCAN LiIr2W, PBEsol geometry; E_form = 0.201 eV/atom; V = 14.4 Å³/atom; raw total energy = -53.368 eV per atom
1.0
-1.1397 0.9068 -2.2434
-0.5213 -2.5136 -0.7512
-7.1151 0.3526 3.7573
Li W Ir
1 1 2
direct
0.0000 0.0000 0.4798
0.5000 0.5000 0.7612
0.5000 0.5000 0.2483
0.0000 0.0000 0.0107

Entry 10:
meta-GGA SCAN LiIrW2, PBEsol geometry; E_form = 0.407 eV/atom; V = 15.3 Å³/atom; raw total energy = -52.809 eV per atom
1.0
-1.3309 -1.9789 -1.1873
-0.2261 0.0186 2.6543
-7.6323 5.5466 -0.6891
W Ir Li
2 1 1
direct
0.0000 0.0000 0.2593
0.0000 0.0000 0.7407
0.5000 0.5000 0.5000
0.5000 0.5000 0.0000

Entry 11:
meta-GGA SCAN LiIr2W, PBEsol geometry; E_form = -0.183 eV/atom; V = 14.0 Å³/atom; raw total energy = -53.752 eV per atom
1.0
2.7561 0.0000 0.0000
0.0000 4.5655 0.0215
0.0000 -1.0559 4.4418
Li W Ir
1 1 2
direct
0.5000 0.0000 0.0000
0.5000 0.5000 0.5000
0.0000 0.5000 0.0000
0.0000 0.0000 0.5000

Entry 12:
meta-GGA SCAN LiIr2W, PBEsol geometry; E_form = -0.370 eV/atom; V = 13.7 Å³/atom; raw total energy = -53.939 eV per atom
1.0
4.0198 0.0000 0.0000
-2.0099 3.9496 -0.0135
0.0000 2.0574 3.4533
W Ir Li
1 2 1
direct
0.5000 0.0000 0.5000
0.2500 0.5000 0.2500
0.7500 0.5000 0.7500
0.0000 0.0000 0.0000

Entry 13:
meta-GGA SCAN LiIr2W, PBEsol geometry; E_form = -0.278 eV/atom; V = 13.2 Å³/atom; raw total energy = -53.847 eV per atom
1.0
2.8957 0.0000 0.0000
0.0000 2.8957 0.0000
0.0000 0.0000 6.3112
W Ir Li
1 2 1
direct
0.5000 0.5000 0.5000
0.0000 0.0000 0.2278
0.0000 0.0000 0.7722
0.5000 0.5000 0.0000

Entry 14:
meta-GGA SCAN LiIr2W, PBEsol geometry; E_form = -0.295 eV/atom; V = 13.7 Å³/atom; raw total energy = -53.864 eV per atom
1.0
-2.3729 0.4569 -1.4147
-0.6010 -3.4187 -0.0962
-2.8198 0.3594 4.8458
Ir W Li
2 1 1
direct
0.0000 0.0000 0.2387
0.0000 0.0000 0.7613
0.5000 0.5000 0.5000
0.5000 0.5000 0.0000

Entry 15:
meta-GGA SCAN LiIrW2, PBEsol geometry; E_form = 0.133 eV/atom; V = 14.4 Å³/atom; raw total energy = -53.083 eV per atom
1.0
-1.1371 -2.2938 0.8510
4.5157 -0.4653 0.5031
-0.7987 2.0380 4.4261
Li Ir W
1 1 2
direct
0.7543 0.5086 0.2498
0.5034 0.0068 0.4940
0.9979 0.9958 0.0188
0.2444 0.4887 0.7374

Entry 16:
meta-GGA SCAN LiIr2W, PBEsol geometry; E_form = 0.143 eV/atom; V = 13.9 Å³/atom; raw total energy = -53.426 eV per atom
1.0
-0.0977 2.1474 -2.3407
-2.1991 -1.7356 -1.5005
-3.9604 2.7188 2.6596
Ir Li W
2 1 1
direct
0.5000 0.5000 0.2954
0.0000 0.0000 0.9785
0.0000 0.0000 0.4796
0.5000 0.5000 0.7465

Entry 17:
meta-GGA SCAN LiIrW2, PBEsol geometry; E_form = 0.105 eV/atom; V = 14.2 Å³/atom; raw total energy = -53.112 eV per atom
1.0
2.6957 0.0000 0.0005
0.0000 4.1292 0.0000
-1.0474 0.0000 5.0992
W Li Ir
2 1 1
direct
0.0301 0.0000 0.2577
0.9699 0.0000 0.7423
0.5000 0.5000 0.5000
0.5000 0.5000 0.0000

Entry 18:
meta-GGA SCAN LiIrW2, PBEsol geometry; E_form = 0.116 eV/atom; V = 14.2 Å³/atom; raw total energy = -53.100 eV per atom
1.0
2.7116 0.0000 0.0000
0.0000 3.9929 0.0000
0.0000 0.0000 5.2559
Ir Li W
1 1 2
direct
0.5000 0.5000 0.0000
0.5000 0.5000 0.5000
0.0000 0.0000 0.2542
0.0000 0.0000 0.7458

Entry 19:
meta-GGA SCAN LiY2Ir2, PBEsol geometry; E_form = -0.661 eV/atom; V = 20.2 Å³/atom; raw total energy = -40.716 eV per atom
1.0
-2.0913 -2.9899 0.9688
1.5255 -3.1499 -6.4284
5.8996 -3.1697 2.9531
Y Ir Li
4 4 2
direct
0.5000 0.3316 0.1684
0.5000 0.1684 0.6684
0.5000 0.6684 0.8316
0.5000 0.8316 0.3316
0.0000 0.3693 0.8693
0.0000 0.8693 0.6307
0.0000 0.1307 0.3693
0.0000 0.6307 0.1307
0.0000 0.5000 0.5000
0.0000 0.0000 0.0000

Entry 20:
meta-GGA SCAN LiYIr3, PBEsol geometry; E_form = 1.922 eV/atom; V = 23.7 Å³/atom; raw total energy = -46.784 eV per atom
1.0
-0.6877 4.4049 -2.0625
-3.2592 -1.9635 -3.1068
-3.6103 0.9335 3.1974
Ir Li Y
3 1 1
direct
0.0000 0.0000 0.5000
0.0000 0.5000 0.0000
0.5000 0.0000 0.0000
0.5000 0.5000 0.5000
0.0000 0.0000 0.0000